No. 1
The following is a PBE calculation of a relaxed structure of TlP2Au, from the Alexandria database.

Values from the calculation:
- Energy of formation: 0.100 eV/atom
- Relative energy among the computed polymorphs: 129.8 meV/atom
- Crystal system: monoclinic

Cell lengths 7.9960, 3.3013, 6.8819 Å; angles 90.00, 104.50, 90.00 degrees
Space group Cm (No. 8)
Unique sites:
1 Tl 0.0000 0.0000 0.0000 [2 per cell]
2 P 0.0923 0.5000 0.4925 [2 per cell]
3 P 0.1856 0.0000 0.7049 [2 per cell]
4 Au 0.2947 0.5000 0.2826 [2 per cell]

No. 2
The following is a PBE calculation of a relaxed structure of CdAg4F7, from the Alexandria database.

Values from the calculation:
- Raw formation energy: -126.0 kJ/mol of atoms
- Crystal system: monoclinic

Cell lengths 11.3560, 3.3824, 10.1195 Å; angles 90.00, 107.50, 90.00 degrees
Space group Cm (No. 8)
Unique sites:
1 Cd 0.0000 0.0000 0.0000 [2 per cell]
2 Ag 0.0967 0.0000 0.4196 [2 per cell]
3 Ag 0.2166 0.0000 0.8227 [2 per cell]
4 Ag 0.2997 0.5000 0.2308 [2 per cell]
5 Ag 0.3955 0.0000 0.6027 [2 per cell]
6 F 0.0502 0.0000 0.6299 [2 per cell]
7 F 0.1136 0.5000 0.9480 [2 per cell]
8 F 0.1448 0.0000 0.2089 [2 per cell]
9 F 0.2522 0.5000 0.4862 [2 per cell]
10 F 0.3646 0.5000 0.7872 [2 per cell]
11 F 0.3797 0.0000 0.0428 [2 per cell]
12 F 0.4413 0.0000 0.3494 [2 per cell]

Spin magnetization
In order: 0.00; 1.55
Unit: μB/cell
DFT total energy
In order: -16.06; -41.10
Unit: eV per formula unit